Record 1
ReNiRu2, optimized geometry, DFT PBE; magnetic moment = 0.113 μB/atom; DFT formation energy = 0.61 eV/f.u.
1.0
-6.662 3.335 -4.616
-7.801 3.362 -2.159
-6.226 5.421 -2.944
Ru Re Ni
2 1 1
direct
0.000 0.000 0.000 Ru
0.249 0.249 0.249 Ru
0.751 0.751 0.751 Re
0.500 0.500 0.500 Ni


Record 2
MgNb2Zn2, optimized geometry, DFT PBE; magnetic moment = 0.000 μB/atom; DFT formation energy = 0.72 eV/f.u.
1.0
6.914 0.000 0.000
0.000 6.914 0.000
0.000 0.000 3.593
Nb Zn Mg
4 4 2
direct
0.826 0.326 0.500 Nb
0.174 0.674 0.500 Nb
0.674 0.826 0.500 Nb
0.326 0.174 0.500 Nb
0.875 0.625 0.000 Zn
0.125 0.375 0.000 Zn
0.375 0.875 0.000 Zn
0.625 0.125 0.000 Zn
0.000 0.000 0.000 Mg
0.500 0.500 0.000 Mg


Record 3
BaLa3Ru, optimized geometry, DFT PBE; magnetic moment = 0.000 μB/atom; DFT formation energy = 0.92 eV/f.u.
1.0
-3.361 -0.925 -5.521
-3.355 -4.822 2.850
-9.629 3.150 1.474
La Ru Ba
6 2 2
direct
0.280 0.280 0.440 La
0.122 0.373 0.757 La
0.720 0.720 0.560 La
0.122 0.870 0.757 La
0.130 0.878 0.243 La
0.627 0.878 0.243 La
0.250 0.750 0.500 Ru
0.000 0.000 0.000 Ru
0.566 0.066 0.867 Ba
0.934 0.434 0.133 Ba


Record 4
RbZn3Pb, optimized geometry, DFT PBE; magnetic moment = 0.001 μB/atom; DFT formation energy = 4.87 eV/f.u.
1.0
5.962 0.000 0.000
0.000 5.962 0.000
0.000 0.000 5.962
Zn Rb Pb
3 1 1
direct
0.500 0.000 0.000 Zn
0.000 0.000 0.500 Zn
0.000 0.500 0.000 Zn
0.000 0.000 0.000 Rb
0.500 0.500 0.500 Pb


Record 5
Ca2ZnAgN, optimized geometry, DFT PBE; magnetic moment = 0.000 μB/atom; formation energy without anion corrections = -0.482 eV per atom
1.0
3.561 0.000 0.000
0.000 7.767 -0.113
0.000 -3.382 7.397
N Ag Zn Ca
2 2 2 4
direct
0.750 0.153 0.191 N
0.250 0.847 0.809 N
0.250 0.659 0.265 Ag
0.750 0.341 0.735 Ag
0.750 0.435 0.356 Zn
0.250 0.565 0.644 Zn
0.750 0.811 0.996 Ca
0.250 0.189 0.004 Ca
0.750 0.869 0.621 Ca
0.250 0.131 0.379 Ca


Record 6
AlPbC2, optimized geometry, DFT PBE; magnetic moment = 0.000 μB/atom; DFT formation energy = 8.51 eV/f.u.
1.0
0.000 3.032 3.032
3.032 0.000 3.032
3.032 3.032 0.000
Al Pb C
1 1 2
direct
0.000 0.000 0.000 Al
0.500 0.500 0.500 Pb
0.750 0.750 0.750 C
0.250 0.250 0.250 C


Number 1: energy above the lowest structure with this stoichiometry 0.092 eV/atom. Number 2: energy above the lowest structure with this stoichiometry 0.000 eV/atom. Number 3: energy above the lowest structure with this stoichiometry 0.330 eV/atom. Number 4: energy above the lowest structure with this stoichiometry 0.663 eV/atom. Number 5: energy above the lowest structure with this stoichiometry 0.000 eV/atom. Number 6: energy above the lowest structure with this stoichiometry 1.103 eV/atom.